Density functional theory data (PBE) for ZrPb2Cl after structural relaxation. Values from VASP.

```
&SYSTEM
  ibrav = 0, nat = 4, ntyp = 3
/
ATOMIC_SPECIES
Cl 35.45 Cl.upf
Pb 207.20 Pb.upf
Zr 91.22 Zr.upf
ATOMIC_POSITIONS angstrom
Cl 2.980 -0.001 1.575
Pb 0.000 0.000 0.000
Pb 4.296 2.673 0.000
Zr 1.316 2.674 1.575
CELL_PARAMETERS angstrom
5.960 -0.001 0.000
2.633 5.347 0.000
-4.296 -2.673 3.150
```

VASP energy (eV/atom): -4.515
ΔE to the lowest computed polymorph (meV/atom): 402

Density functional theory data (PBE) for ZrPbCl2 after structural relaxation. Values from VASP.

```
&SYSTEM
  ibrav = 0, nat = 4, ntyp = 3
/
ATOMIC_SPECIES
Pb 207.20 Pb.upf
Zr 91.22 Zr.upf
Cl 35.45 Cl.upf
ATOMIC_POSITIONS angstrom
Pb 0.936 13.327 7.185
Zr 0.000 0.000 0.000
Cl 1.722 24.515 13.217
Cl 0.150 2.139 1.153
CELL_PARAMETERS angstrom
-0.640 9.686 3.468
-0.079 8.036 6.456
2.591 8.932 4.447
```

VASP energy (eV/atom): -4.635
ΔE to the lowest computed polymorph (meV/atom): 410

Density functional theory data (PBE) for ZrPb2Cl after structural relaxation. Values from VASP.

```
&SYSTEM
  ibrav = 0, nat = 4, ntyp = 3
/
ATOMIC_SPECIES
Cl 35.45 Cl.upf
Pb 207.20 Pb.upf
Zr 91.22 Zr.upf
ATOMIC_POSITIONS angstrom
Cl 1.761 2.330 4.624
Pb 0.000 0.000 0.017
Pb 0.000 0.000 3.066
Zr 1.761 2.330 1.541
CELL_PARAMETERS angstrom
3.521 0.000 0.000
0.000 4.660 0.000
0.000 0.000 6.166
```

VASP energy (eV/atom): -4.616
ΔE to the lowest computed polymorph (meV/atom): 301

Density functional theory data (PBE) for ZrPbCl2 after structural relaxation. Values from VASP.

```
&SYSTEM
  ibrav = 0, nat = 4, ntyp = 3
/
ATOMIC_SPECIES
Pb 207.20 Pb.upf
Zr 91.22 Zr.upf
Cl 35.45 Cl.upf
ATOMIC_POSITIONS angstrom
Pb -1.647 -2.096 2.737
Zr 0.932 2.006 3.115
Cl 0.000 0.000 0.000
Cl 1.003 -0.912 3.047
CELL_PARAMETERS angstrom
-1.576 -5.014 2.669
3.582 3.190 3.425
-1.718 0.822 2.805
```

VASP energy (eV/atom): -4.540
ΔE to the lowest computed polymorph (meV/atom): 506

Density functional theory data (PBE) for ZrPbCl2 after structural relaxation. Values from VASP.

```
&SYSTEM
  ibrav = 0, nat = 4, ntyp = 3
/
ATOMIC_SPECIES
Pb 207.20 Pb.upf
Zr 91.22 Zr.upf
Cl 35.45 Cl.upf
ATOMIC_POSITIONS angstrom
Pb 2.236 0.000 2.333
Zr 0.000 2.236 2.333
Cl 0.000 0.000 0.000
Cl 2.236 2.236 0.000
CELL_PARAMETERS angstrom
4.472 0.000 0.000
0.000 4.472 0.000
0.000 0.000 4.666
```

VASP energy (eV/atom): -4.269
ΔE to the lowest computed polymorph (meV/atom): 777

Density functional theory data (PBE) for ZrPbCl after structural relaxation. Values from VASP.

```
&SYSTEM
  ibrav = 0, nat = 3, ntyp = 3
/
ATOMIC_SPECIES
Cl 35.45 Cl.upf
Pb 207.20 Pb.upf
Zr 91.22 Zr.upf
ATOMIC_POSITIONS angstrom
Cl -0.093 0.307 2.804
Pb -1.194 -2.406 1.359
Zr 1.526 -1.946 3.103
CELL_PARAMETERS angstrom
-3.933 -2.804 0.176
4.396 -1.977 0.362
-0.112 0.368 3.364
```

VASP energy (eV/atom): -5.125
ΔE to the lowest computed polymorph (meV/atom): 327

Density functional theory data (PBE) for ZrPb2Cl after structural relaxation. Values from VASP.

```
&SYSTEM
  ibrav = 0, nat = 4, ntyp = 3
/
ATOMIC_SPECIES
Cl 35.45 Cl.upf
Pb 207.20 Pb.upf
Zr 91.22 Zr.upf
ATOMIC_POSITIONS angstrom
Cl 2.898 3.682 5.108
Pb 0.734 -1.132 2.949
Pb 0.385 2.118 2.718
Zr 3.175 1.373 3.875
CELL_PARAMETERS angstrom
-2.886 2.231 1.574
0.442 -1.566 3.030
5.982 5.150 3.667
```

VASP energy (eV/atom): -4.808
ΔE to the lowest computed polymorph (meV/atom): 108

Density functional theory data (PBE) for ZrPbCl after structural relaxation. Values from VASP.

```
&SYSTEM
  ibrav = 0, nat = 3, ntyp = 3
/
ATOMIC_SPECIES
Cl 35.45 Cl.upf
Pb 207.20 Pb.upf
Zr 91.22 Zr.upf
ATOMIC_POSITIONS angstrom
Cl 0.000 0.000 7.626
Pb 0.000 1.943 3.227
Zr 1.683 0.972 5.872
CELL_PARAMETERS angstrom
3.366 0.000 0.000
-1.683 2.915 0.000
0.000 0.000 8.363
```

VASP energy (eV/atom): -5.452
ΔE to the lowest computed polymorph (meV/atom): 0

Density functional theory data (PBE) for ZrPb2Cl after structural relaxation. Values from VASP.

```
&SYSTEM
  ibrav = 0, nat = 4, ntyp = 3
/
ATOMIC_SPECIES
Cl 35.45 Cl.upf
Pb 207.20 Pb.upf
Zr 91.22 Zr.upf
ATOMIC_POSITIONS angstrom
Cl -10.464 -15.180 -13.393
Pb -0.048 -0.069 -0.061
Pb -6.928 -10.051 -8.867
Zr -3.488 -5.060 -4.464
CELL_PARAMETERS angstrom
-5.510 -5.268 -6.957
-2.889 -7.448 -6.534
-5.553 -7.524 -4.366
```

VASP energy (eV/atom): -4.546
ΔE to the lowest computed polymorph (meV/atom): 371

Density functional theory data (PBE) for ZrPbCl2 after structural relaxation. Values from VASP.

```
&SYSTEM
  ibrav = 0, nat = 4, ntyp = 3
/
ATOMIC_SPECIES
Pb 207.20 Pb.upf
Zr 91.22 Zr.upf
Cl 35.45 Cl.upf
ATOMIC_POSITIONS angstrom
Pb 12.143 2.824 3.966
Zr 4.048 0.941 1.322
Cl 12.754 2.966 0.432
Cl 9.109 2.118 2.163
CELL_PARAMETERS angstrom
7.241 0.068 -0.024
6.528 3.134 -0.024
2.422 0.563 5.337
```

VASP energy (eV/atom): -4.886
ΔE to the lowest computed polymorph (meV/atom): 159

Density functional theory data (PBE) for ZrPbCl2 after structural relaxation. Values from VASP.

```
&SYSTEM
  ibrav = 0, nat = 4, ntyp = 3
/
ATOMIC_SPECIES
Pb 207.20 Pb.upf
Zr 91.22 Zr.upf
Cl 35.45 Cl.upf
ATOMIC_POSITIONS angstrom
Pb 5.167 2.983 2.110
Zr 7.751 4.475 3.164
Cl 0.000 0.000 0.000
Cl 2.584 1.492 1.055
CELL_PARAMETERS angstrom
5.167 0.000 0.000
2.584 4.475 0.000
2.584 1.492 4.219
```

VASP energy (eV/atom): -4.025
ΔE to the lowest computed polymorph (meV/atom): 1021

Density functional theory data (PBE) for ZrPb2Cl after structural relaxation. Values from VASP.

```
&SYSTEM
  ibrav = 0, nat = 8, ntyp = 3
/
ATOMIC_SPECIES
Pb 207.20 Pb.upf
Zr 91.22 Zr.upf
Cl 35.45 Cl.upf
ATOMIC_POSITIONS angstrom
Pb -3.101 1.124 3.063
Pb -0.188 1.401 4.225
Pb -3.470 5.753 6.971
Pb -4.419 4.427 9.666
Zr 0.000 0.000 0.000
Zr -4.210 3.054 5.385
Cl -0.988 -1.303 2.613
Cl -1.379 3.299 6.578
CELL_PARAMETERS angstrom
-3.820 -1.548 1.420
1.844 -1.058 3.806
-3.612 8.958 6.736
```

VASP energy (eV/atom): -4.328
ΔE to the lowest computed polymorph (meV/atom): 588

Density functional theory data (PBE) for ZrPbCl after structural relaxation. Values from VASP.

```
&SYSTEM
  ibrav = 0, nat = 3, ntyp = 3
/
ATOMIC_SPECIES
Cl 35.45 Cl.upf
Pb 207.20 Pb.upf
Zr 91.22 Zr.upf
ATOMIC_POSITIONS angstrom
Cl 0.000 0.000 0.000
Pb -0.386 -5.819 -1.367
Zr -0.579 -8.729 -2.051
CELL_PARAMETERS angstrom
-1.601 -3.227 -3.308
2.560 -4.073 -0.881
-1.730 -4.338 1.454
```

VASP energy (eV/atom): -4.651
ΔE to the lowest computed polymorph (meV/atom): 801

Density functional theory data (PBE) for ZrPbCl after structural relaxation. Values from VASP.

```
&SYSTEM
  ibrav = 0, nat = 3, ntyp = 3
/
ATOMIC_SPECIES
Cl 35.45 Cl.upf
Pb 207.20 Pb.upf
Zr 91.22 Zr.upf
ATOMIC_POSITIONS angstrom
Cl -1.510 0.700 8.578
Pb 0.000 0.000 0.000
Zr -1.007 0.467 5.719
CELL_PARAMETERS angstrom
-2.450 2.348 3.333
-1.547 -2.291 3.871
1.983 0.876 4.234
```

VASP energy (eV/atom): -4.470
ΔE to the lowest computed polymorph (meV/atom): 982

Density functional theory data (PBE) for ZrPb2Cl after structural relaxation. Values from VASP.

```
&SYSTEM
  ibrav = 0, nat = 4, ntyp = 3
/
ATOMIC_SPECIES
Cl 35.45 Cl.upf
Pb 207.20 Pb.upf
Zr 91.22 Zr.upf
ATOMIC_POSITIONS angstrom
Cl 1.768 -2.004 7.298
Pb 0.059 -0.019 0.130
Pb -0.074 -1.409 3.230
Zr 2.305 -0.745 5.090
CELL_PARAMETERS angstrom
-2.774 1.369 1.457
0.114 -3.374 -0.546
4.479 -1.448 9.890
```

VASP energy (eV/atom): -4.863
ΔE to the lowest computed polymorph (meV/atom): 54

Density functional theory data (PBE) for ZrPbCl2 after structural relaxation. Values from VASP.

```
&SYSTEM
  ibrav = 0, nat = 4, ntyp = 3
/
ATOMIC_SPECIES
Pb 207.20 Pb.upf
Zr 91.22 Zr.upf
Cl 35.45 Cl.upf
ATOMIC_POSITIONS angstrom
Pb 8.942 2.493 3.465
Zr 3.814 1.063 0.594
Cl 12.078 3.368 1.517
Cl 12.401 3.458 5.340
CELL_PARAMETERS angstrom
6.828 0.225 0.462
5.959 3.340 0.462
3.513 0.980 5.737
```

VASP energy (eV/atom): -4.919
ΔE to the lowest computed polymorph (meV/atom): 127

Density functional theory data (PBE) for ZrPbCl2 after structural relaxation. Values from VASP.

```
&SYSTEM
  ibrav = 0, nat = 4, ntyp = 3
/
ATOMIC_SPECIES
Pb 207.20 Pb.upf
Zr 91.22 Zr.upf
Cl 35.45 Cl.upf
ATOMIC_POSITIONS angstrom
Pb 2.204 0.873 2.156
Zr -0.253 2.779 1.575
Cl 0.000 0.000 0.000
Cl -0.041 1.289 4.404
CELL_PARAMETERS angstrom
-2.498 3.195 3.823
2.416 -0.617 4.984
2.033 1.074 -5.077
```

VASP energy (eV/atom): -4.320
ΔE to the lowest computed polymorph (meV/atom): 726

Density functional theory data (PBE) for ZrPbCl2 after structural relaxation. Values from VASP.

```
&SYSTEM
  ibrav = 0, nat = 4, ntyp = 3
/
ATOMIC_SPECIES
Pb 207.20 Pb.upf
Zr 91.22 Zr.upf
Cl 35.45 Cl.upf
ATOMIC_POSITIONS angstrom
Pb -3.222 -3.668 2.261
Zr -1.469 -0.834 2.955
Cl 0.000 0.000 0.000
Cl 0.053 -2.986 1.633
CELL_PARAMETERS angstrom
-4.744 -1.515 3.583
-1.699 -5.820 0.939
5.028 3.516 0.066
```

VASP energy (eV/atom): -4.251
ΔE to the lowest computed polymorph (meV/atom): 795

Density functional theory data (PBE) for ZrPb2Cl after structural relaxation. Values from VASP.

```
&SYSTEM
  ibrav = 0, nat = 4, ntyp = 3
/
ATOMIC_SPECIES
Cl 35.45 Cl.upf
Pb 207.20 Pb.upf
Zr 91.22 Zr.upf
ATOMIC_POSITIONS angstrom
Cl 1.705 1.718 6.638
Pb 0.000 0.000 0.068
Pb 0.000 0.000 4.357
Zr 1.705 1.718 2.213
CELL_PARAMETERS angstrom
3.424 0.011 0.000
-0.015 3.424 0.000
0.000 0.000 8.850
```

VASP energy (eV/atom): -4.584
ΔE to the lowest computed polymorph (meV/atom): 333

Density functional theory data (PBE) for ZrPbCl2 after structural relaxation. Values from VASP.

```
&SYSTEM
  ibrav = 0, nat = 4, ntyp = 3
/
ATOMIC_SPECIES
Pb 207.20 Pb.upf
Zr 91.22 Zr.upf
Cl 35.45 Cl.upf
ATOMIC_POSITIONS angstrom
Pb 1.121 2.380 2.549
Zr 5.591 5.733 3.975
Cl 7.904 5.929 2.523
Cl 5.504 4.129 1.757
CELL_PARAMETERS angstrom
-2.006 2.402 0.642
-0.221 -0.994 3.028
8.939 6.705 2.853
```

VASP energy (eV/atom): -4.851
ΔE to the lowest computed polymorph (meV/atom): 195

Density functional theory data (PBE) for Zr3PbCl after structural relaxation. Values from VASP.

```
&SYSTEM
  ibrav = 0, nat = 5, ntyp = 3
/
ATOMIC_SPECIES
Pb 207.20 Pb.upf
Zr 91.22 Zr.upf
Cl 35.45 Cl.upf
ATOMIC_POSITIONS angstrom
Pb 0.000 0.000 0.000
Zr 0.000 2.774 0.000
Zr 0.000 0.000 2.774
Zr 2.774 0.000 0.000
Cl 2.774 2.774 2.774
CELL_PARAMETERS angstrom
5.548 0.000 0.000
0.000 5.548 0.000
0.000 0.000 5.548
```

VASP energy (eV/atom): -5.066
ΔE to the lowest computed polymorph (meV/atom): 1220

Density functional theory data (PBE) for ZrPb2Cl after structural relaxation. Values from VASP.

```
&SYSTEM
  ibrav = 0, nat = 4, ntyp = 3
/
ATOMIC_SPECIES
Cl 35.45 Cl.upf
Pb 207.20 Pb.upf
Zr 91.22 Zr.upf
ATOMIC_POSITIONS angstrom
Cl 2.474 0.709 1.367
Pb 11.061 3.170 0.556
Pb 10.405 2.982 3.708
Zr 7.322 2.098 3.293
CELL_PARAMETERS angstrom
6.138 0.013 0.145
5.213 3.240 0.145
1.922 0.551 5.468
```

VASP energy (eV/atom): -4.867
ΔE to the lowest computed polymorph (meV/atom): 49

Density functional theory data (PBE) for ZrPb2Cl after structural relaxation. Values from VASP.

```
&SYSTEM
  ibrav = 0, nat = 4, ntyp = 3
/
ATOMIC_SPECIES
Pb 207.20 Pb.upf
Zr 91.22 Zr.upf
Cl 35.45 Cl.upf
ATOMIC_POSITIONS angstrom
Pb -0.837 2.671 1.675
Pb -2.511 8.014 5.025
Zr -1.674 5.342 3.350
Cl 0.000 0.000 0.000
CELL_PARAMETERS angstrom
-0.256 2.191 4.849
0.918 5.210 0.620
-4.010 3.283 1.231
```

VASP energy (eV/atom): -4.246
ΔE to the lowest computed polymorph (meV/atom): 671

Density functional theory data (PBE) for ZrPbCl2 after structural relaxation. Values from VASP.

```
&SYSTEM
  ibrav = 0, nat = 4, ntyp = 3
/
ATOMIC_SPECIES
Pb 207.20 Pb.upf
Zr 91.22 Zr.upf
Cl 35.45 Cl.upf
ATOMIC_POSITIONS angstrom
Pb 2.326 0.932 1.461
Zr 2.326 2.797 4.382
Cl 0.000 3.343 5.714
Cl 0.000 2.250 3.051
CELL_PARAMETERS angstrom
4.653 0.000 0.000
0.000 3.411 0.012
0.000 0.318 5.831
```

VASP energy (eV/atom): -4.674
ΔE to the lowest computed polymorph (meV/atom): 372

Density functional theory data (PBE) for ZrPbCl2 after structural relaxation. Values from VASP.

```
&SYSTEM
  ibrav = 0, nat = 4, ntyp = 3
/
ATOMIC_SPECIES
Pb 207.20 Pb.upf
Zr 91.22 Zr.upf
Cl 35.45 Cl.upf
ATOMIC_POSITIONS angstrom
Pb -1.606 -2.045 -1.303
Zr 1.582 -2.807 -1.956
Cl 0.000 0.000 0.000
Cl 1.113 -0.195 -3.145
CELL_PARAMETERS angstrom
-2.074 0.567 -2.492
4.300 -0.957 -3.798
-1.137 -4.658 -0.114
```

VASP energy (eV/atom): -4.534
ΔE to the lowest computed polymorph (meV/atom): 512

Density functional theory data (PBE) for ZrPbCl2 after structural relaxation. Values from VASP.

```
&SYSTEM
  ibrav = 0, nat = 4, ntyp = 3
/
ATOMIC_SPECIES
Pb 207.20 Pb.upf
Zr 91.22 Zr.upf
Cl 35.45 Cl.upf
ATOMIC_POSITIONS angstrom
Pb 0.000 0.000 5.039
Zr 0.868 1.517 7.531
Cl 0.000 0.000 9.408
Cl 0.868 1.517 2.888
CELL_PARAMETERS angstrom
3.530 -0.007 0.000
-1.793 3.041 0.000
0.000 0.000 9.946
```

VASP energy (eV/atom): -4.573
ΔE to the lowest computed polymorph (meV/atom): 473

Density functional theory data (PBE) for ZrPbCl2 after structural relaxation. Values from VASP.

```
&SYSTEM
  ibrav = 0, nat = 4, ntyp = 3
/
ATOMIC_SPECIES
Pb 207.20 Pb.upf
Zr 91.22 Zr.upf
Cl 35.45 Cl.upf
ATOMIC_POSITIONS angstrom
Pb 2.977 -2.107 1.269
Zr 4.411 -5.236 0.312
Cl 5.500 -3.892 2.344
Cl 0.571 -2.517 -1.325
CELL_PARAMETERS angstrom
-2.042 -2.974 -0.149
1.058 -0.556 -3.406
5.777 -4.089 2.462
```

VASP energy (eV/atom): -4.755
ΔE to the lowest computed polymorph (meV/atom): 290

Density functional theory data (PBE) for ZrPb2Cl after structural relaxation. Values from VASP.

```
&SYSTEM
  ibrav = 0, nat = 4, ntyp = 3
/
ATOMIC_SPECIES
Cl 35.45 Cl.upf
Pb 207.20 Pb.upf
Zr 91.22 Zr.upf
ATOMIC_POSITIONS angstrom
Cl -0.380 2.811 1.569
Pb 0.000 0.000 0.000
Pb 2.388 2.991 -0.110
Zr 2.825 0.253 1.569
CELL_PARAMETERS angstrom
5.593 0.433 -0.110
-0.817 5.550 -0.110
0.058 0.072 3.247
```

VASP energy (eV/atom): -4.692
ΔE to the lowest computed polymorph (meV/atom): 225

Density functional theory data (PBE) for ZrPbCl2 after structural relaxation. Values from VASP.

```
&SYSTEM
  ibrav = 0, nat = 4, ntyp = 3
/
ATOMIC_SPECIES
Pb 207.20 Pb.upf
Zr 91.22 Zr.upf
Cl 35.45 Cl.upf
ATOMIC_POSITIONS angstrom
Pb 1.168 -1.460 2.671
Zr 2.928 -1.176 8.033
Cl 3.263 0.526 9.940
Cl 2.017 0.325 6.145
CELL_PARAMETERS angstrom
-2.591 -2.125 0.963
3.166 -1.079 -0.982
3.520 0.567 10.723
```

VASP energy (eV/atom): -4.820
ΔE to the lowest computed polymorph (meV/atom): 226

Density functional theory data (PBE) for ZrPb2Cl after structural relaxation. Values from VASP.

```
&SYSTEM
  ibrav = 0, nat = 4, ntyp = 3
/
ATOMIC_SPECIES
Cl 35.45 Cl.upf
Pb 207.20 Pb.upf
Zr 91.22 Zr.upf
ATOMIC_POSITIONS angstrom
Cl 2.611 -0.426 1.865
Pb 0.000 0.000 0.000
Pb 0.442 2.608 1.865
Zr 3.053 2.183 0.000
CELL_PARAMETERS angstrom
5.222 -0.851 0.000
0.884 5.217 0.000
-3.053 -2.183 3.730
```

VASP energy (eV/atom): -4.425
ΔE to the lowest computed polymorph (meV/atom): 492

Density functional theory data (PBE) for ZrPbCl2 after structural relaxation. Values from VASP.

```
&SYSTEM
  ibrav = 0, nat = 4, ntyp = 3
/
ATOMIC_SPECIES
Pb 207.20 Pb.upf
Zr 91.22 Zr.upf
Cl 35.45 Cl.upf
ATOMIC_POSITIONS angstrom
Pb 0.000 0.000 0.000
Zr -2.772 -4.216 -3.453
Cl -1.386 -2.108 -1.727
Cl -4.157 -6.324 -5.180
CELL_PARAMETERS angstrom
-1.185 -1.307 -4.670
-0.029 -4.816 -1.313
-4.328 -2.309 -0.924
```

VASP energy (eV/atom): -4.235
ΔE to the lowest computed polymorph (meV/atom): 811